The following is a GGA-PBE calculation of crystalline MnNbBr6 at its relaxed geometry, from Alexandria via LeMat-Bulk.

Output
- formation energy (no corrections) (eV per atom) = -0.765
- energy above the most stable polymorph in this dataset (eV/f.u.) = 0.00
- SG = C2/m, No. 12

Unit cell a=6.681 b=7.666 c=7.278 alpha=105.27 beta=99.03 gamma=124.99
Sites, in units of the cell vectors:
Br  0.860  0.110  0.721
Br  0.139  0.388  0.279
Br  0.861  0.612  0.721
Br  0.463  0.731  0.000
Br  0.140  0.890  0.279
Br  0.537  0.269  0.000
Nb  0.000  0.500  0.000
Mn  0.000  0.000  0.000

The following is a GGA-PBE calculation of crystalline Mn2Al3Cu at its relaxed geometry, from Alexandria via LeMat-Bulk.

Output
- formation energy (meV/atom) = -221
- SG = Cmmm, No. 65

Unit cell a=2.862 b=4.271 c=12.878 alpha=90.00 beta=90.00 gamma=90.00
Sites, in units of the cell vectors:
Mn  0.000  0.000  0.331
Mn  0.000  0.000  0.669
Mn  0.000  0.500  0.169
Mn  0.000  0.500  0.831
Al  0.500  0.000  0.166
Al  0.500  0.500  0.666
Al  0.500  0.000  0.834
Al  0.500  0.500  0.000
Al  0.500  0.500  0.334
Al  0.500  0.000  0.500
Cu  0.000  0.500  0.500
Cu  0.000  0.000  0.000